No. 1
Compound: Ac5PrIn3
Source: Alexandria via LeMat-Bulk
Functional: PBE-GGA
Structure: relaxed

## Properties
Total DFT energy (no corrections) ... -71.85 eV for the cell shown

abc: 10.1401 10.1401 7.4061
angles: 90.00 90.00 120.00
Closest atoms and distances in Å follow each position.
Space group P6_3/mcm (No. 193)
One atom of each set of equivalent atoms:
Ac: 0.0000 0.3247 0.2500 x6  5 In 3.36-3.71
Ac: 0.3333 0.6667 0.0000 x4  8 Ac 3.70-3.89, 6 In 3.83
Pr: 0.0000 0.0000 0.0000 x2  2 Pr 3.70, 6 Ac 3.78, 6 In 3.90
In: 0.0000 0.3381 0.7500 x6  5 Ac 3.36-3.71

---

No. 2
Compound: CuNi2Br
Source: Alexandria via LeMat-Bulk
Functional: PBE-GGA
Structure: relaxed

## Properties
Formation energy (no corrections) ... 0.596 eV per atom
Energy above the most stable polymorph in this dataset ... 276.4 meV/atom

abc: 3.8654 3.8654 7.2871
angles: 90.00 90.00 90.00
Closest atoms and distances in Å follow each position.
Space group I4/mmm (No. 139)
One atom of each set of equivalent atoms:
Cu: 0.0000 0.0000 0.0000 x2  8 Ni 2.66, 4 Br 2.73
Ni: 0.0000 0.5000 0.2500 x4  4 Br 2.66, 4 Cu 2.66, 4 Ni 2.73
Br: 0.0000 0.0000 0.5000 x2  8 Ni 2.66, 4 Cu 2.73

---

No. 3
Compound: LiBi3C
Source: Alexandria via LeMat-Bulk
Functional: PBE-GGA
Structure: relaxed

## Properties
Energy above the most stable polymorph in this dataset ... 0.0 meV/atom

abc: 5.0435 5.0435 5.0435
angles: 90.00 90.00 90.00
Closest atoms and distances in Å follow each position.
Space group Pm-3m (No. 221)
One atom of each set of equivalent atoms:
Li: 0.0000 0.0000 0.0000 x1  12 Bi 3.57
Bi: 0.0000 0.5000 0.5000 x3  2 C 2.52
C: 0.5000 0.5000 0.5000 x1  6 Bi 2.52

---

No. 4
Compound: ScW2Cl
Source: Alexandria via LeMat-Bulk
Functional: PBE-GGA
Structure: relaxed

## Properties
Formation energy (no corrections) ... 0.355 eV per atom
Energy above the most stable polymorph in this dataset ... 457.1 meV/atom

abc: 2.9695 4.4625 10.6020
angles: 90.00 90.00 90.00
Closest atoms and distances in Å follow each position.
Space group Immm (No. 71)
One atom of each set of equivalent atoms:
Sc: 0.0000 0.0000 0.0000 x2  4 Cl 2.68, 2 Sc 2.97
W: 0.0000 0.5000 0.2359 x4  6 W 2.70-2.97, 2 Cl 2.91
Cl: 0.0000 0.0000 0.5000 x2  4 Sc 2.68, 4 W 2.91, 2 Cl 2.97

---

No. 5
Compound: CuTe3AsPb
Source: Alexandria via LeMat-Bulk
Functional: PBE-GGA
Structure: relaxed

## Properties
Formation energy (no corrections) ... -0.118 eV per atom

abc: 8.8398 4.2208 9.4601
angles: 90.00 102.27 90.00
Closest atoms and distances in Å follow each position.
Space group P2_1/m (No. 11)
One atom of each set of equivalent atoms:
Cu: 0.0626 0.2500 0.0770 x2  4 Te 2.67-2.73, 2 Cu 2.67
Te: 0.1168 0.2500 0.3682 x2  1 Cu 2.69, 2 As 2.87
Te: 0.2418 0.7500 0.0303 x2  3 Cu 2.67-2.73
Te: 0.4348 0.7500 0.6635 x2  3 As 2.73-2.98
As: 0.3377 0.7500 0.3694 x2  5 Te 2.73-2.98
Pb: 0.1742 0.2500 0.7698 x2  6 Te 3.20-3.43, 3 Cu 3.26-3.50

---

No. 6
Compound: BaTh3C4N12
Source: Alexandria via LeMat-Bulk
Functional: PBE-GGA
Structure: relaxed

## Properties
Formation energy (no corrections) ... -0.371 eV per atom

abc: 10.4898 10.4898 9.6393
angles: 90.00 90.00 120.00
Closest atoms and distances in Å follow each position.
Space group R32 (No. 155, hexagonal axes)
One atom of each set of equivalent atoms:
Ba: 0.0000 0.0000 0.0000 x3  6 N 2.86
Th: 0.0000 0.5343 0.0000 x9  6 N 2.37-2.48
C: 0.0000 0.0000 0.5000 x3  3 N 1.35
C: 0.0000 0.4722 0.5000 x9  3 N 1.33-1.35
N: 0.0000 0.6007 0.5000 x9  1 C 1.35
N: 0.0000 0.8715 0.5000 x9  1 C 1.35
N: 0.0126 0.2111 0.8046 x18  1 C 1.33

---

No. 7
Compound: U2Co3Si
Source: Alexandria via LeMat-Bulk
Functional: PBE-GGA
Structure: relaxed

## Properties
Formation energy (no corrections) ... -0.488 eV per atom

abc: 5.1080 5.1080 7.5334
angles: 90.00 90.00 120.00
Closest atoms and distances in Å follow each position.
Space group P6_3/mmc (No. 194)
One atom of each set of equivalent atoms:
U: 0.3333 0.6667 0.0690 x4  1 U 2.73, 9 Co 2.82-2.90, 3 Si 2.99
Co: 0.1670 0.3339 0.7500 x6  2 Si 2.39, 4 Co 2.55-2.56
Si: 0.0000 0.0000 0.0000 x2  6 Co 2.39

---

No. 8
Compound: KTl2In7
Source: Alexandria via LeMat-Bulk
Functional: PBE-GGA
Structure: relaxed

## Properties
Total DFT energy (no corrections) ... -48.90 eV for the cell shown

abc: 7.0233 21.2539 4.4678
angles: 90.00 90.00 90.00
Closest atoms and distances in Å follow each position.
Space group Cmmm (No. 65)
One atom of each set of equivalent atoms:
K: 0.0000 0.0000 0.0000 x2  16 In 3.74-4.16
Tl: 0.0000 0.2605 0.5000 x4  4 In 3.20-3.29, 2 Tl 3.54
In: 0.0000 0.3961 0.0000 x4  6 In 3.03-3.14
In: 0.0000 0.5000 0.5000 x2  8 In 3.14-3.29
In: 0.2129 0.1224 0.5000 x8  4 In 2.99-3.29, 2 Tl 3.20-3.29

---

No. 9
Compound: Zn5CdAu8
Source: Alexandria via LeMat-Bulk
Functional: PBE-GGA
Structure: relaxed

## Properties
Total DFT energy (no corrections) ... -70.40 eV for the cell shown

abc: 7.9465 7.9465 8.0051
angles: 90.00 90.00 90.00
Closest atoms and distances in Å follow each position.
Space group I-4 (No. 82)
One atom of each set of equivalent atoms:
Zn: 0.0000 0.0000 0.0000 x2  8 Au 2.64-2.74
Zn: 0.1315 0.7764 0.5962 x8  8 Au 2.66-2.92
Cd: 0.0000 0.5000 0.2500 x2  8 Au 2.86-2.95
Au: 0.0683 0.6698 0.9287 x8  5 Zn 2.74-2.92, 3 Au 2.91-3.01, 1 Cd 2.95
Au: 0.1019 0.8440 0.2727 x8  5 Zn 2.64-2.80, 1 Cd 2.86, 1 Au 2.91

---

No. 10
Compound: MnCuSi2
Source: Alexandria via LeMat-Bulk
Functional: PBE-GGA
Structure: relaxed

## Properties
Formation energy (no corrections) ... -0.023 eV per atom

abc: 2.6124 3.7763 5.0944
angles: 90.00 90.00 90.00
Closest atoms and distances in Å follow each position.
Space group Pmmm (No. 47)
One atom of each set of equivalent atoms:
Mn: 0.0000 0.0000 0.0000 x1  8 Si 2.59, 2 Mn 2.61, 4 Cu 2.86
Cu: 0.5000 0.0000 0.5000 x1  4 Si 2.33
Si: 0.5000 0.5000 0.2334 x2  2 Cu 2.33, 1 Si 2.38, 4 Mn 2.59

---

No. 11
Compound: HfAu
Source: Alexandria via LeMat-Bulk
Functional: PBE-GGA
Structure: relaxed

## Properties
Total DFT energy (no corrections) ... -97.01 eV for the cell shown

abc: 8.4309 8.4309 8.4309
angles: 90.00 90.00 90.00
Closest atoms and distances in Å follow each position.
Space group I-43m (No. 217)
One atom of each set of equivalent atoms:
Hf: 0.1350 0.1350 0.1350 x8  4 Au 2.70-2.71
Au: 0.1795 0.1795 0.8205 x8  4 Hf 2.70-2.71

---

No. 12
Compound: Sm4Tl2TeSe
Source: Alexandria via LeMat-Bulk
Functional: PBE-GGA
Structure: relaxed

## Properties
Formation energy (no corrections) ... -0.957 eV per atom

abc: 7.2658 4.1949 8.2713
angles: 90.00 107.01 90.00
Closest atoms and distances in Å follow each position.
Space group P2/m (No. 10)
One atom of each set of equivalent atoms:
Sm: 0.2333 0.0000 0.2297 x2  2 Se 3.00, 1 Te 3.09, 3 Tl 3.18-3.26
Sm: 0.2445 0.5000 0.7625 x2  1 Se 3.01, 2 Te 3.09, 3 Tl 3.16-3.24
Tl: 0.0000 0.0000 0.5000 x1  6 Sm 3.16-3.18
Tl: 0.5000 0.5000 0.5000 x1  6 Sm 3.24-3.26
Te: 0.5000 0.0000 0.0000 x1  6 Sm 3.09
Se: 0.0000 0.5000 0.0000 x1  6 Sm 3.00-3.01

---

No. 13
Compound: Pr2Sm6Er
Source: Alexandria via LeMat-Bulk
Functional: PBE-GGA
Structure: relaxed

## Properties
Energy above the most stable polymorph in this dataset ... 0.0 meV/atom

abc: 9.9136 17.2355 3.5547
angles: 90.00 90.00 90.00
Closest atoms and distances in Å follow each position.
Space group Cmmm (No. 65)
One atom of each set of equivalent atoms:
Pr: 0.0000 0.1669 0.0000 x4  2 Pr 3.55, 12 Sm 3.76-3.78
Sm: 0.1656 0.3350 0.5000 x8  5 Sm 3.28-3.55
Sm: 0.1696 0.0000 0.5000 x4  5 Sm 3.28-3.55
Er: 0.0000 0.5000 0.0000 x2  2 Er 3.55, 12 Sm 3.73

---

No. 14
Compound: LiBe6Au12
Source: Alexandria via LeMat-Bulk
Functional: PBE-GGA
Structure: relaxed

## Properties
Total DFT energy (no corrections) ... -196.08 eV for the cell shown

abc: 11.7394 11.7394 7.4828
angles: 90.00 90.00 120.00
Closest atoms and distances in Å follow each position.
Space group R-3 (No. 148, hexagonal axes)
One atom of each set of equivalent atoms:
Li: 0.0000 0.0000 0.0000 x3  12 Au 2.87-3.01
Be: 0.0723 0.2429 0.6025 x18  6 Au 2.31-2.56
Au: 0.0401 0.2574 0.9247 x18  3 Be 2.40-2.56
Au: 0.0546 0.1890 0.3024 x18  3 Be 2.31-2.43

---

No. 15
Compound: Cu2HgBRu
Source: Alexandria via LeMat-Bulk
Functional: PBE-GGA
Structure: relaxed

## Properties
Total DFT energy (no corrections) ... -15.74 eV for the cell shown

abc: 4.7909 4.7909 4.0281
angles: 90.00 90.00 90.00
Closest atoms and distances in Å follow each position.
Space group P4/mmm (No. 123)
One atom of each set of equivalent atoms:
Cu: 0.0000 0.5000 0.0000 x2  2 Hg 2.40
Hg: 0.0000 0.0000 0.0000 x1  2 B 2.01
B: 0.0000 0.0000 0.5000 x1  2 Hg 2.01
Ru: 0.5000 0.5000 0.5000 x1  8 Cu 3.13, 4 B 3.39

---

No. 16
Compound: Ce9Ho4In11
Source: Alexandria via LeMat-Bulk
Functional: PBE-GGA
Structure: relaxed

## Properties
Total DFT energy (no corrections) ... -218.81 eV for the cell shown

abc: 15.5284 25.1323 3.3639
angles: 90.00 90.00 90.00
Closest atoms and distances in Å follow each position.
Space group Cmmm (No. 65)
One atom of each set of equivalent atoms:
Ce: 0.0000 0.0000 0.0000 x2  2 Ce 3.36, 4 In 3.46, 4 Ho 3.60
Ce: 0.0894 0.2266 0.0000 x8  1 Ce 2.78
Ce: 0.1169 0.4126 0.0000 x8  1 Ho 3.30, 8 In 3.31-3.48, 3 Ce 3.36-3.63
Ho: 0.1711 0.0965 0.0000 x8  6 In 3.18-3.28, 2 Ce 3.30-3.51, 2 Ho 3.36
In: 0.0000 0.1205 0.5000 x4  4 Ho 3.20, 2 In 3.36, 6 Ce 3.44-3.46
In: 0.0000 0.3246 0.5000 x4  8 Ce 3.29-3.32, 4 In 3.36-3.48
In: 0.0000 0.5000 0.5000 x2  8 Ce 3.31, 2 In 3.36
In: 0.2234 0.3124 0.5000 x8  4 In 3.24-3.48, 2 Ho 3.28, 6 Ce 3.44-3.50
In: 0.2471 0.0000 0.5000 x4  4 Ho 3.18, 2 In 3.36, 4 Ce 3.48

---

No. 17
Compound: FeTe5
Source: Alexandria via LeMat-Bulk
Functional: PBE-GGA
Structure: relaxed

## Properties
Formation energy (no corrections) ... 0.876 eV per atom

abc: 8.8874 8.8874 8.8874
angles: 90.00 90.00 90.00
Closest atoms and distances in Å follow each position.
Space group F-43m (No. 216)
One atom of each set of equivalent atoms:
Fe: 0.0000 0.0000 0.0000 x4  16 Te 3.68-3.85
Te: 0.1252 0.1252 0.3748 x16  6 Te 3.14-3.15
Te: 0.2500 0.2500 0.7500 x4  12 Te 3.69, 4 Fe 3.85

---

No. 18
Compound: ZrPbF2
Source: Alexandria via LeMat-Bulk
Functional: PBE-GGA
Structure: relaxed

## Properties
Formation energy (no corrections) ... -1.167 eV per atom
Energy above the most stable polymorph in this dataset ... 674.7 meV/atom

abc: 6.4437 6.4437 6.4437
angles: 90.00 90.00 90.00
Closest atoms and distances in Å follow each position.
Space group Fm-3m (No. 225)
One atom of each set of equivalent atoms:
Zr: 0.0000 0.0000 0.0000 x4  8 F 2.79
Pb: 0.0000 0.0000 0.5000 x4  8 F 2.79
F: 0.2500 0.2500 0.2500 x8  4 Zr 2.79, 4 Pb 2.79

---

No. 19
Compound: Ac2SnAs
Source: Alexandria via LeMat-Bulk
Functional: PBE-GGA
Structure: relaxed

## Properties
Energy above the most stable polymorph in this dataset ... 83.8 meV/atom

abc: 4.5086 4.5086 24.6510
angles: 90.00 90.00 120.00
Closest atoms and distances in Å follow each position.
Space group R-3m (No. 166, hexagonal axes)
One atom of each set of equivalent atoms:
Ac: 0.0000 0.0000 0.2415 x6  3 As 3.19, 3 Sn 3.45
Sn: 0.0000 0.0000 0.0000 x3  6 Ac 3.45
As: 0.0000 0.0000 0.5000 x3  6 Ac 3.19

---

No. 20
Compound: Al9Fe2
Source: Alexandria via LeMat-Bulk
Functional: PBE-GGA
Structure: relaxed

## Properties
Total DFT energy (no corrections) ... -106.50 eV for the cell shown

abc: 6.1379 6.3628 8.6699
angles: 90.00 95.15 90.00
Closest atoms and distances in Å follow each position.
Space group P2_1/c (No. 14)
One atom of each set of equivalent atoms:
Al: 0.0000 0.0000 0.0000 x2  2 Fe 2.38
Al: 0.0768 0.1947 0.7253 x4  2 Fe 2.42-2.44
Al: 0.2205 0.6192 0.0458 x4  2 Fe 2.50-2.51, 3 Al 2.73-2.79
Al: 0.3903 0.1874 0.9953 x4  2 Fe 2.47-2.52, 3 Al 2.68-2.74
Al: 0.4163 0.5457 0.7697 x4  2 Fe 2.42-2.47
Fe: 0.2632 0.6178 0.3347 x4  9 Al 2.38-2.52